(1)
TbY2Er3Bi6 after structural relaxation. Source: Alexandria via LeMat-Bulk, functional PBE-GGA.

The structure in POSCAR format:
```
TbY2Er3Bi6
1.0
-2.591 3.575 -0.671
-7.082 -5.337 -1.089
1.282 -0.002 9.903
Bi Y Er Tb
6 2 3 1
direct
0.667 0.082 0.335
0.001 0.748 0.001
0.334 0.415 0.668
0.333 0.918 0.665
0.666 0.585 0.332
0.999 0.252 0.999
0.167 0.333 0.334
0.833 0.667 0.666
0.167 0.833 0.333
0.833 0.167 0.667
0.500 0.500 0.000
0.500 0.000 0.000
```

- V: 31.5 A^3/atom
- Spin magnetization: 0.0000 μB per atom
- Symmetry: C2/m
- Total DFT energy (no corrections): -5.40 eV/atom
- Calculated formation energy: -0.852 eV per atom

(2)
Tb3YEr2Bi6 after structural relaxation. Source: Alexandria via LeMat-Bulk, functional PBE-GGA.

The structure in POSCAR format:
```
Tb3YEr2Bi6
1.0
4.476 0.000 0.000
0.000 8.947 0.326
-2.238 -2.569 9.409
Bi Er Y Tb
6 2 1 3
direct
0.999 0.750 0.998
0.333 0.419 0.665
0.001 0.250 0.002
0.333 0.915 0.666
0.667 0.085 0.334
0.667 0.581 0.335
0.833 0.667 0.667
0.167 0.333 0.333
0.500 0.000 0.000
0.500 0.500 0.000
0.834 0.167 0.668
0.166 0.833 0.332
```

- V: 31.7 A^3/atom
- Spin magnetization: 0.0000 μB per atom
- Symmetry: C2/m
- Total DFT energy (no corrections): -5.26 eV/atom
- Calculated formation energy: -0.860 eV per atom

(3)
Tb2YErBi5 after structural relaxation. Source: Alexandria via LeMat-Bulk, functional PBE-GGA.

The structure in POSCAR format:
```
Tb2YErBi5
1.0
5.384 0.000 0.000
0.000 5.384 0.000
0.000 0.000 11.861
Bi Er Tb Y
5 1 2 1
direct
0.500 0.000 0.500
0.500 0.500 0.000
0.000 0.000 0.753
0.000 0.500 0.500
0.000 0.000 0.247
0.000 0.000 0.500
0.500 0.500 0.731
0.500 0.500 0.269
0.000 0.000 0.000
```

- V: 38.2 A^3/atom
- Spin magnetization: 0.0000 μB per atom
- Symmetry: P4/mmm
- Total DFT energy (no corrections): -4.43 eV/atom
- Calculated formation energy: -0.019 eV per atom

(4)
Tb2YEr3Bi6 after structural relaxation. Source: Alexandria via LeMat-Bulk, functional PBE-GGA.

The structure in POSCAR format:
```
Tb2YEr3Bi6
1.0
4.469 0.000 0.000
0.000 8.933 0.326
-2.234 -2.566 9.394
Bi Y Er Tb
6 1 3 2
direct
0.666 0.585 0.332
0.333 0.919 0.666
0.334 0.415 0.668
0.999 0.251 0.998
0.667 0.081 0.334
0.001 0.749 0.002
0.500 0.000 0.000
0.833 0.167 0.667
0.500 0.500 0.000
0.167 0.833 0.333
0.167 0.333 0.333
0.833 0.667 0.667
```

- V: 31.6 A^3/atom
- Spin magnetization: 0.0000 μB per atom
- Symmetry: C2/m
- Total DFT energy (no corrections): -5.24 eV/atom
- Calculated formation energy: -0.849 eV per atom